1.
Here is a geometry-optimized ThScCoNi structure from the Alexandria database. Energies are from PBE-GGA.

Cell and atoms, written as POSCAR:
```
ThScCoNi
1.0
0.000 3.338 3.338
3.338 0.000 3.338
3.338 3.338 0.000
Th Sc Co Ni
1 1 1 1
direct
0.000 0.000 0.000
0.500 0.500 0.500
0.750 0.750 0.750
0.250 0.250 0.250
```

Output
Total magnetic moment   0.000 μB/atom
Energy relative to the elements   -278.2 meV per atom
Space group   F-43m
DOS at the Fermi energy   1.44 states/eV/atom

***

2.
Here is a geometry-optimized ScTiCoNi structure from the Alexandria database. Energies are from PBE-GGA.

Cell and atoms, written as POSCAR:
```
ScTiCoNi
1.0
0.000 3.070 3.070
3.070 0.000 3.070
3.070 3.070 0.000
Sc Ti Co Ni
1 1 1 1
direct
0.000 0.000 0.000
0.500 0.500 0.500
0.750 0.750 0.750
0.250 0.250 0.250
```

Output
Total magnetic moment   0.112 μB/atom
Energy relative to the elements   -366.8 meV per atom
Space group   F-43m
DOS at the Fermi energy   1.09 states/eV/atom

***

3.
Here is a geometry-optimized ScTlCoNi structure from the Alexandria database. Energies are from PBE-GGA.

Cell and atoms, written as POSCAR:
```
ScTlCoNi
1.0
0.000 3.160 3.160
3.160 0.000 3.160
3.160 3.160 0.000
Sc Tl Co Ni
1 1 1 1
direct
0.000 0.000 0.000
0.500 0.500 0.500
0.750 0.750 0.750
0.250 0.250 0.250
```

Output
Total magnetic moment   0.238 μB/atom
Energy relative to the elements   -117.8 meV per atom
Space group   F-43m
DOS at the Fermi energy   0.41 states/eV/atom